Below is crystalline TbPRh at its relaxed geometry, with properties calculated at the GGA-PBE level.

Results
magnetization: 0.0 μB per formula unit
energy: -6.631 eV/atom

Lattice parameters (Å, degrees): 5.1724 4.5818 7.5363 117.52 90.00 124.36
Atoms (fractional coordinates):
P  0.0447  0.0894  0.2615
Tb  0.3031  0.6063  0.7082
P  0.9553  0.9106  0.7385
Rh  0.7730  0.5460  0.9107
Tb  0.6969  0.3937  0.2918
Rh  0.2270  0.4540  0.0893